[1]
5
Lattice="5.3518 0.0000 0.0000 0.0000 5.3518 0.0000 0.0000 0.0000 5.4065" Properties=species:S:1:pos:R:3 comment="CuBi2MoPb PBE-GGA relaxed" formation_energy_ev_per_atom=0.7879 dft_energy_ev_per_atom=-4.492 pbc="T T T"
Cu 0.0000 0.0000 0.0000
Bi 0.0000 2.6759 2.7033
Bi 2.6759 0.0000 2.7033
Mo 2.6759 2.6759 2.7033
Pb 2.6759 2.6759 0.0000

[2]
5
Lattice="5.1151 0.0000 0.0000 0.0000 5.1151 0.0000 0.0000 0.0000 4.8177" Properties=species:S:1:pos:R:3 comment="TiCuBi2Mo PBE-GGA relaxed" formation_energy_ev_per_atom=1.1114 dft_energy_ev_per_atom=-5.005 pbc="T T T"
Ti 0.0000 0.0000 0.0000
Cu 2.5576 2.5576 2.4088
Bi 0.0000 2.5576 2.4088
Bi 2.5576 0.0000 2.4088
Mo 2.5576 2.5576 0.0000

[3]
5
Lattice="5.1280 0.0000 0.0000 0.0000 5.1280 0.0000 0.0000 0.0000 4.7137" Properties=species:S:1:pos:R:3 comment="TiCuBi2Mo PBE-GGA relaxed" formation_energy_ev_per_atom=1.1104 dft_energy_ev_per_atom=-5.006 pbc="T T T"
Ti 0.0000 0.0000 0.0000
Cu 0.0000 0.0000 2.3568
Bi 0.0000 2.5640 2.3568
Bi 2.5640 0.0000 2.3568
Mo 2.5640 2.5640 0.0000

[4]
5
Lattice="5.3144 0.0000 0.0000 0.0000 5.3144 0.0000 0.0000 0.0000 6.0263" Properties=species:S:1:pos:R:3 comment="TlCuBiMo2 PBE-GGA relaxed" formation_energy_ev_per_atom=2.1624 dft_energy_ev_per_atom=-4.239 pbc="T T T"
Tl 0.0000 0.0000 0.0000
Cu 2.6572 2.6572 0.0000
Bi 0.0000 0.0000 3.0132
Mo 0.0000 2.6572 3.0132
Mo 2.6572 0.0000 3.0132

[5]
5
Lattice="5.1141 0.0000 0.0000 0.0000 5.1141 0.0000 0.0000 0.0000 5.0132" Properties=species:S:1:pos:R:3 comment="ZnCuBi2Mo PBE-GGA relaxed" formation_energy_ev_per_atom=1.0199 dft_energy_ev_per_atom=-3.773 pbc="T T T"
Zn 0.0000 0.0000 0.0000
Cu 2.5571 2.5571 2.5066
Bi 0.0000 2.5571 2.5066
Bi 2.5571 0.0000 2.5066
Mo 2.5571 2.5571 0.0000

[6]
8
Lattice="-2.4267 2.4267 5.1089 2.4267 -2.4267 5.1089 2.4267 2.4267 -5.1089" Properties=species:S:1:pos:R:3 comment="CuBiN2 PBE-GGA relaxed" dft_energy_ev_per_atom=-5.316 raw_formation_energy_ev_per_atom=0.8408 pbc="T T T"
Cu 0.0000 0.0000 0.0000
Cu 0.0000 2.4267 2.5545
Bi 2.4267 0.0000 2.5545
Bi 0.0000 0.0000 5.1089
N 3.6400 1.0020 -1.2772
N 1.0020 1.2133 1.2772
N -1.2133 1.4247 3.8317
N 1.4247 1.2133 6.3861

[7]
4
Lattice="1.6005 0.9241 6.4272 -1.6005 0.9241 6.4272 0.0000 -1.8481 6.4272" Properties=species:S:1:pos:R:3 comment="CuBiN2 PBE-GGA relaxed" dft_energy_ev_per_atom=-5.003 raw_formation_energy_ev_per_atom=1.1542 pbc="T T T"
Cu 0.0000 0.0000 0.0000
Bi 0.0000 0.0000 9.6408
N 0.0000 0.0000 7.2929
N 0.0000 0.0000 11.9887

[8]
5
Lattice="5.1557 0.0000 0.0000 0.0000 5.1557 0.0000 0.0000 0.0000 5.1557" Properties=species:S:1:pos:R:3 comment="CuBi3N PBE-GGA relaxed" dft_energy_ev_per_atom=-3.343 raw_formation_energy_ev_per_atom=1.4699 pbc="T T T"
Cu 0.0000 0.0000 0.0000
Bi 0.0000 0.0000 2.5778
Bi 0.0000 2.5778 0.0000
Bi 2.5778 0.0000 0.0000
N 2.5778 2.5778 2.5778

[9]
5
Lattice="4.8990 0.0000 0.0000 0.0000 4.8990 0.0000 0.0000 0.0000 4.8990" Properties=species:S:1:pos:R:3 comment="CuBi3N PBE-GGA relaxed" dft_energy_ev_per_atom=-4.108 raw_formation_energy_ev_per_atom=0.7047 pbc="T T T"
Cu 0.0000 0.0000 0.0000
Bi 0.0000 2.4495 2.4495
Bi 2.4495 0.0000 2.4495
Bi 2.4495 2.4495 0.0000
N 2.4495 2.4495 2.4495

[10]
5
Lattice="3.8665 0.0000 0.0000 0.0000 3.8665 0.0000 0.0000 0.0000 3.8665" Properties=species:S:1:pos:R:3 comment="CuBiN3 PBE-GGA relaxed" dft_energy_ev_per_atom=-4.935 raw_formation_energy_ev_per_atom=1.6555 pbc="T T T"
Cu 0.0000 0.0000 0.0000
Bi 1.9333 1.9333 1.9333
N 0.0000 0.0000 1.9333
N 0.0000 1.9333 0.0000
N 1.9333 0.0000 0.0000

[11]
5
Lattice="4.2666 0.0000 0.0000 0.0000 4.2666 0.0000 0.0000 0.0000 4.2666" Properties=species:S:1:pos:R:3 comment="CuBiN3 PBE-GGA relaxed" dft_energy_ev_per_atom=-4.157 raw_formation_energy_ev_per_atom=2.4335 pbc="T T T"
Cu 0.0000 0.0000 0.0000
Bi 2.1333 2.1333 2.1333
N 0.0000 2.1333 2.1333
N 2.1333 0.0000 2.1333
N 2.1333 2.1333 0.0000

[12]
4
Lattice="1.7495 1.0101 5.9623 -1.7495 1.0101 5.9623 0.0000 -2.0201 5.9623" Properties=species:S:1:pos:R:3 comment="CuBiN2 PBE-GGA relaxed" dft_energy_ev_per_atom=-5.373 raw_formation_energy_ev_per_atom=0.7836 pbc="T T T"
Cu 0.0000 0.0000 0.0000
Bi 0.0000 0.0000 8.9435
N 0.0000 0.0000 1.8196
N 0.0000 0.0000 16.0673

In the order shown, the computed volume values come out to 154.9, 126.1, 124.0, 170.2, 131.1, 60.2, 57.0, 137.0, 117.6, 57.8, 77.7, 63.2 Å³/f.u..